## Hf2MgZnHg (PBE)

Data for an optimized crystal structure of Hf2MgZnHg.

a b c (Å): 5.263 4.948 5.263
angles (deg): 90.00 90.00 90.00
Fractional coordinates of all 5 atoms:
1 Hg 0.000 0.000 0.000
2 Hf 0.000 0.000 0.500
3 Hf 0.500 0.000 0.000
4 Zn 0.500 0.500 0.500
5 Mg 0.000 0.500 0.000

## Properties
* D(E_F): 5.04 states/eV/f.u.
* DFT formation energy: 943.0 meV/atom
* V: 137.04 Å³ per cell
* SG: P4/mmm
* raw total energy: -3.6725 eV per atom